# Zn3GaCu3 | the Alexandria database | GGA-PBE | relaxed
data_Zn3GaCu3
_cell_length_a 7.0108
_cell_length_b 7.0108
_cell_length_c 4.5345
_cell_angle_alpha 90.00
_cell_angle_beta 90.00
_cell_angle_gamma 120.00
_symmetry_space_group_name_H-M 'P 63/m'
_symmetry_Int_Tables_number 176
_symmetry_space_group_name_Hall '-P 6c'
loop_
_atom_site_label
_atom_site_type_symbol
_atom_site_fract_x
_atom_site_fract_y
_atom_site_fract_z
Zn1 Zn 0.0928 0.6326 0.2500
Ga1 Ga 0.3333 0.6667 0.7500
Cu1 Cu 0.0454 0.8130 0.7500
# energy relative to the elements	-0.0297	eV per atom
# DOS(E_F)	3.864	states/eV per cell
# size of the total moment	0.00	Bohr magnetons per cell